TePWN2 | PBE-GGA | relaxed

Output
* raw formation energy: 0.676 eV per atom
* energy above the lowest structure with this stoichiometry: 0.000 eV/atom
* symmetry: No. 123
* crystal system: tetragonal
* M_tot: 0.242 μB per atom
* VASP energy: -6.955 eV per atom

Lattice parameters (Å, degrees): 3.920 3.920 5.804 90.00 90.00 90.00
Fractional coordinates of all 5 atoms:
Te  0.000  0.000  0.000
P  0.500  0.500  0.000
W  0.000  0.000  0.500
N  0.000  0.500  0.500
N  0.500  0.000  0.500